# 1
Compound: Mg2RhBr
Source: Alexandria
Functional: PBE
Structure: relaxed

Calculated values
**N(E_F)**: 0.336 states/eV/atom
**E**: -3.13 eV per atom
**Magnetization**: 0.0 μB/f.u.
**ΔE_f (raw)**: -0.31 eV/f.u.

```
data_Mg2RhBr
_chemical_formula_sum 'Mg8 Rh4 Br4'
_cell_length_a 6.919
_cell_length_b 6.919
_cell_length_c 7.826
_cell_angle_alpha 90.00
_cell_angle_beta 90.00
_cell_angle_gamma 90.00
_space_group_name_H-M_alt 'I -4 2 d'
_space_group_IT_number 122
_space_group_name_Hall 'I -4 2bw'
loop_
_atom_site_label
_atom_site_fract_x
_atom_site_fract_y
_atom_site_fract_z
Mg1 0.230 0.250 0.125
Rh1 0.000 0.000 0.000
Br1 0.000 0.000 0.500
```


# 2
Compound: Mg2TlPb5
Source: Alexandria
Functional: PBE
Structure: relaxed

Calculated values
**N(E_F)**: 0.540 states/eV/atom
**E**: -2.98 eV per atom
**Magnetization**: 0.0 μB/f.u.
**ΔE_f**: 0.03 eV/atom

```
data_Mg2TlPb5
_chemical_formula_sum 'Mg8 Tl4 Pb20'
_cell_length_a 8.141
_cell_length_b 8.141
_cell_length_c 14.162
_cell_angle_alpha 90.00
_cell_angle_beta 90.00
_cell_angle_gamma 90.00
_space_group_name_H-M_alt 'I 4/m c m'
_space_group_IT_number 140
_space_group_name_Hall '-I 4 2c'
loop_
_atom_site_label
_atom_site_fract_x
_atom_site_fract_y
_atom_site_fract_z
Mg1 0.144 0.356 0.000
Tl1 0.000 0.000 0.250
Pb1 0.000 0.000 0.000
Pb2 0.148 0.352 0.345
```


Number 1: offset from the most stable computed form 2.150 eV per formula unit. Number 2: offset from the most stable computed form 0.141 eV per formula unit.